Entry 1:
Material: LiRhO4
Method: DFT, PBE
State: optimized geometry

a b c (Å): 5.8582 5.9720 4.9346
angles (deg): 110.15 109.14 116.04
Fractional coordinates of all 12 atoms:
Rh: 0.1481 0.8981 0.7961
Rh: 0.8519 0.1019 0.2039
O: 0.2406 0.9140 0.4426
O: 0.0033 0.1598 0.8708
O: 0.3675 0.7110 0.8708
O: 0.9967 0.8402 0.1292
O: 0.7020 0.5286 0.4426
O: 0.2980 0.4714 0.5574
O: 0.7594 0.0860 0.5574
O: 0.6325 0.2890 0.1292
Li: 0.3854 0.6354 0.2708
Li: 0.6146 0.3646 0.7292

Summary:
* magnetization: 0.00 μB per formula unit
* formation energy without anion corrections: -704 meV/atom
* symmetry: C2/c, No. 15


Entry 2:
Material: PaNb2TlO7
Method: DFT, PBE
State: optimized geometry

a b c (Å): 3.9027 3.9027 11.2742
angles (deg): 90.00 90.00 90.00
Fractional coordinates of all 11 atoms:
O: 0.5000 0.5000 0.6389
O: 0.5000 0.0000 0.1501
O: 0.5000 0.0000 0.8499
O: 0.5000 0.5000 0.3611
O: 0.0000 0.5000 0.1501
O: 0.5000 0.5000 0.0000
O: 0.0000 0.5000 0.8499
Nb: 0.5000 0.5000 0.8002
Nb: 0.5000 0.5000 0.1998
Pa: 0.0000 0.0000 0.0000
Tl: 0.0000 0.0000 0.5000

Summary:
* magnetization: 1.05 μB per formula unit
* formation energy without anion corrections: -2433 meV/atom
* symmetry: P4/mmm, No. 123
* density of states at the Fermi level: 3.63 states/eV/f.u.


Entry 3:
Material: AcZnInRh
Method: DFT, PBE
State: optimized geometry

a b c (Å): 5.0552 5.0552 5.0552
angles (deg): 60.00 60.00 60.00
Fractional coordinates of all 4 atoms:
Zn: 0.2500 0.2500 0.2500
In: 0.5000 0.5000 0.5000
Rh: 0.7500 0.7500 0.7500
Ac: 0.0000 0.0000 0.0000

Summary:
* magnetization: 0.00 μB per formula unit
* electronic total energy: -4.165 eV/atom
* symmetry: F-43m, No. 216
* density of states at the Fermi level: 2.94 states/eV/f.u.


Entry 4:
Material: BaLiGe
Method: DFT, PBE
State: optimized geometry

a b c (Å): 5.0018 7.8357 8.4536
angles (deg): 90.00 90.00 90.00
Fractional coordinates of all 12 atoms:
Ba: 0.5000 0.0000 0.7668
Ba: 0.0000 0.5000 0.2668
Ba: 0.5000 0.5000 0.6895
Ba: 0.0000 0.0000 0.1895
Li: 0.5000 0.7933 0.3912
Li: 0.5000 0.2067 0.3912
Li: 0.0000 0.2933 0.8912
Li: 0.0000 0.7067 0.8912
Ge: 0.0000 0.1809 0.5548
Ge: 0.5000 0.3191 0.0548
Ge: 0.0000 0.8191 0.5548
Ge: 0.5000 0.6809 0.0548

Summary:
* magnetization: 0.00 μB per formula unit
* electronic total energy: -3.236 eV/atom
* symmetry: Imm2, No. 44
* density of states at the Fermi level: 0.47 states/eV/f.u.


Entry 5:
Material: Tb3Mg2Tl
Method: DFT, PBE
State: optimized geometry

a b c (Å): 3.8203 3.8203 11.3028
angles (deg): 90.00 90.00 90.00
Fractional coordinates of all 6 atoms:
Mg: 0.5000 0.5000 0.8375
Mg: 0.5000 0.5000 0.1625
Tb: 0.0000 0.0000 0.0000
Tb: 0.0000 0.0000 0.3307
Tb: 0.0000 0.0000 0.6693
Tl: 0.5000 0.5000 0.5000

Summary:
* magnetization: 0.00 μB per formula unit
* electronic total energy: -3.420 eV/atom
* symmetry: P4/mmm, No. 123
* density of states at the Fermi level: 7.99 states/eV/f.u.


Entry 6:
Material: Sm2NpN
Method: DFT, PBE
State: optimized geometry

a b c (Å): 3.4132 4.9633 4.9633
angles (deg): 90.00 90.00 90.00
Fractional coordinates of all 4 atoms:
Sm: 0.0000 0.5000 0.0000
Sm: 0.0000 0.0000 0.5000
N: 0.5000 0.0000 0.0000
Np: 0.5000 0.5000 0.5000

Summary:
* magnetization: 4.15 μB per formula unit
* energy relative to the lowest polymorph listed for this composition: 1047 meV/atom
* formation energy without anion corrections: 780 meV/atom
* symmetry: P4/mmm, No. 123
* density of states at the Fermi level: 6.90 states/eV/f.u.


Entry 7:
Material: PrSmY
Method: DFT, PBE
State: optimized geometry

a b c (Å): 5.7746 6.7663 6.7660
angles (deg): 62.97 64.74 64.74
Fractional coordinates of all 6 atoms:
Y: 0.8326 0.1669 0.1680
Y: 0.1674 0.8331 0.8320
Sm: 0.1647 0.3356 0.3350
Sm: 0.8353 0.6644 0.6650
Pr: 0.4998 0.2467 0.7537
Pr: 0.5002 0.7533 0.2463

Summary:
* magnetization: 0.00 μB per formula unit
* energy relative to the lowest polymorph listed for this composition: 46 meV/atom
* symmetry: Immm, No. 71
* density of states at the Fermi level: 4.57 states/eV/f.u.


Entry 8:
Material: AgRh2Se
Method: DFT, PBE
State: optimized geometry

a b c (Å): 2.9454 3.8446 5.8890
angles (deg): 90.00 90.00 90.00
Fractional coordinates of all 4 atoms:
Rh: 0.5000 0.5000 0.2749
Rh: 0.0000 0.0000 0.0210
Se: 0.0000 0.0000 0.4279
Ag: 0.5000 0.5000 0.7762

Summary:
* magnetization: 0.00 μB per formula unit
* formation energy without anion corrections: 141 meV/atom
* symmetry: Pmm2, No. 25
* density of states at the Fermi level: 4.22 states/eV/f.u.


Entry 9:
Material: AcHo2ThSe4
Method: DFT, PBE
State: optimized geometry

a b c (Å): 4.0890 7.5432 7.1229
angles (deg): 71.75 90.00 90.00
Fractional coordinates of all 8 atoms:
Se: 0.0000 0.7771 0.7350
Se: 0.5000 0.7719 0.2489
Se: 0.0000 0.2229 0.2650
Se: 0.5000 0.2281 0.7511
Th: 0.0000 0.5000 0.5000
Ho: 0.0000 0.0000 0.0000
Ho: 0.5000 0.0000 0.5000
Ac: 0.5000 0.5000 0.0000

Summary:
* magnetization: 0.00 μB per formula unit
* formation energy without anion corrections: -1689 meV/atom
* symmetry: P2/m, No. 10
* density of states at the Fermi level: 4.10 states/eV/f.u.


Entry 10:
Material: NaAlGa4
Method: DFT, PBE
State: optimized geometry

a b c (Å): 3.7558 8.3603 8.3603
angles (deg): 105.37 90.00 90.00
Fractional coordinates of all 12 atoms:
Ga: 0.5000 0.0740 0.3886
Ga: 0.5000 0.3764 0.3764
Ga: 0.5000 0.6236 0.6236
Ga: 0.5000 0.9044 0.0956
Ga: 0.5000 0.9260 0.6114
Ga: 0.5000 0.6114 0.9260
Ga: 0.5000 0.3886 0.0740
Ga: 0.5000 0.0956 0.9044
Na: 0.0000 0.3004 0.6996
Na: 0.0000 0.6996 0.3004
Al: 0.0000 0.8303 0.8303
Al: 0.0000 0.1697 0.1697

Summary:
* magnetization: 0.00 μB per formula unit
* energy relative to the lowest polymorph listed for this composition: 0 meV/atom
* symmetry: Cmmm, No. 65
* density of states at the Fermi level: 1.77 states/eV/f.u.


Entry 11:
Material: KZnBr2Cl
Method: DFT, PBE
State: optimized geometry

a b c (Å): 5.3125 5.3125 4.9246
angles (deg): 90.00 90.00 90.00
Fractional coordinates of all 5 atoms:
Br: 0.0000 0.5000 0.0000
Br: 0.5000 0.0000 0.0000
Cl: 0.0000 0.0000 0.5000
Zn: 0.0000 0.0000 0.0000
K: 0.5000 0.5000 0.5000

Summary:
* magnetization: 0.00 μB per formula unit
* energy relative to the lowest polymorph listed for this composition: 0 meV/atom
* formation energy without anion corrections: -1200 meV/atom
* symmetry: P4/mmm, No. 123


Entry 12:
Material: SiHgMo2
Method: DFT, PBE
State: optimized geometry

a b c (Å): 4.8528 4.8528 4.8846
angles (deg): 84.44 84.44 35.53
Fractional coordinates of all 4 atoms:
Mo: 0.0036 0.0036 0.9772
Mo: 0.7523 0.7523 0.7433
Si: 0.4879 0.4879 0.5341
Hg: 0.2563 0.2563 0.2454

Summary:
* magnetization: 0.00 μB per formula unit
* energy relative to the lowest polymorph listed for this composition: 265 meV/atom
* formation energy without anion corrections: 437 meV/atom
* symmetry: Cm, No. 8
* density of states at the Fermi level: 3.18 states/eV/f.u.


Entry 13:
Material: TaSbW2
Method: DFT, PBE
State: optimized geometry

a b c (Å): 3.4444 3.4444 6.0195
angles (deg): 90.00 90.00 90.00
Fractional coordinates of all 4 atoms:
W: 0.0000 0.0000 0.0028
W: 0.5000 0.5000 0.2405
Sb: 0.0000 0.0000 0.4981
Ta: 0.5000 0.5000 0.7585

Summary:
* magnetization: 0.00 μB per formula unit
* formation energy without anion corrections: 372 meV/atom
* symmetry: P4mm, No. 99
* density of states at the Fermi level: 4.66 states/eV/f.u.


Entry 14:
Material: LiGaCu
Method: DFT, PBE
State: optimized geometry

a b c (Å): 3.0798 3.0798 4.8002
angles (deg): 108.71 108.71 90.00
Fractional coordinates of all 3 atoms:
Li: 0.6105 0.6105 0.2209
Cu: 0.9523 0.9523 0.9046
Ga: 0.2872 0.2872 0.5745

Summary:
* magnetization: 0.00 μB per formula unit
* electronic total energy: -3.204 eV/atom
* symmetry: I4mm, No. 107
* density of states at the Fermi level: 0.56 states/eV/f.u.


Entry 15:
Material: BaHgBi2Pt2
Method: DFT, PBE
State: optimized geometry

a b c (Å): 4.8981 7.3666 10.1727
angles (deg): 90.00 90.00 90.00
Fractional coordinates of all 12 atoms:
Pt: 0.0000 0.2691 0.1855
Pt: 0.5000 0.7691 0.3145
Pt: 0.5000 0.2309 0.6855
Pt: 0.0000 0.7309 0.8145
Bi: 0.0000 0.4042 0.7020
Bi: 0.5000 0.9042 0.7980
Bi: 0.0000 0.5958 0.2980
Bi: 0.5000 0.0958 0.2020
Hg: 0.0000 0.0000 0.0000
Hg: 0.5000 0.5000 0.5000
Ba: 0.0000 0.0000 0.5000
Ba: 0.5000 0.5000 0.0000

Summary:
* magnetization: 0.00 μB per formula unit
* electronic total energy: -4.069 eV/atom
* symmetry: Pnnm, No. 58
* density of states at the Fermi level: 1.91 states/eV/f.u.


Entry 16:
Material: YAl
Method: DFT, PBE
State: optimized geometry

a b c (Å): 5.8533 5.8533 5.8533
angles (deg): 90.00 90.00 90.00
Fractional coordinates of all 8 atoms:
Al: 0.4071 0.4071 0.4071
Al: 0.9071 0.0929 0.5929
Al: 0.5929 0.9071 0.0929
Al: 0.0929 0.5929 0.9071
Y: 0.5843 0.4157 0.9157
Y: 0.0843 0.0843 0.0843
Y: 0.4157 0.9157 0.5843
Y: 0.9157 0.5843 0.4157

Summary:
* magnetization: 0.14 μB per formula unit
* electronic total energy: -5.252 eV/atom
* symmetry: P2_13, No. 198
* density of states at the Fermi level: 1.90 states/eV/f.u.


Entry 17:
Material: SrBe2As
Method: DFT, PBE
State: optimized geometry

a b c (Å): 5.1148 5.1148 5.1148
angles (deg): 130.37 130.37 72.82
Fractional coordinates of all 4 atoms:
Sr: 0.2500 0.7500 0.5000
As: 0.7500 0.2500 0.5000
Be: 0.5000 0.5000 0.0000
Be: 0.0000 0.0000 0.0000

Summary:
* magnetization: 0.00 μB per formula unit
* electronic total energy: -2.995 eV/atom
* symmetry: I4/mmm, No. 139
* density of states at the Fermi level: 1.03 states/eV/f.u.


Entry 18:
Material: LiZrGa2
Method: DFT, PBE
State: optimized geometry

a b c (Å): 4.1071 4.1071 5.2826
angles (deg): 67.12 67.12 60.00
Fractional coordinates of all 4 atoms:
Li: 0.5000 0.5000 0.5000
Ga: 0.7833 0.7833 0.6502
Ga: 0.2167 0.2167 0.3498
Zr: 0.0000 0.0000 0.0000

Summary:
* magnetization: 0.00 μB per formula unit
* energy relative to the lowest polymorph listed for this composition: 114 meV/atom
* symmetry: R-3m, No. 166
* density of states at the Fermi level: 2.34 states/eV/f.u.